Entry 1:
! Cs2TlPt, relaxed, DFT PBE-GGA; values from VASP
&SYSTEM
  ibrav = 0, nat = 4, ntyp = 3
/
ATOMIC_SPECIES
Cs 132.91 Cs.upf
Tl 204.38 Tl.upf
Pt 195.08 Pt.upf
CELL_PARAMETERS angstrom
10.0614 -2.4228 -0.1089
10.0614 2.4228 -0.1089
9.5230 0.0000 4.0529
ATOMIC_POSITIONS crystal
Cs 0.8902 0.8902 0.8902
Cs 0.7180 0.7180 0.7180
Tl 0.1374 0.1374 0.1374
Pt 0.4708 0.4708 0.4708
! ΔE to the lowest computed polymorph: 0 meV/atom
! Formation energy from the elements: -11.4 kJ per mole of atoms

---

Entry 2:
! CoMoAs, relaxed, DFT PBE-GGA; values from VASP
&SYSTEM
  ibrav = 0, nat = 3, ntyp = 3
/
ATOMIC_SPECIES
As 74.92 As.upf
Co 58.93 Co.upf
Mo 95.94 Mo.upf
CELL_PARAMETERS angstrom
-3.8567 3.2440 0.3405
-4.0656 1.3760 2.6629
0.8506 2.1940 1.8412
ATOMIC_POSITIONS crystal
As 0.0132 0.0132 0.9868
Co 0.6542 0.6542 0.3458
Mo 0.3326 0.3326 0.6674
! Formation energy from the elements: 9.5 kJ per mole of atoms

---

Entry 3:
! MnFeS3, relaxed, DFT PBE-GGA; values from VASP
&SYSTEM
  ibrav = 0, nat = 5, ntyp = 3
/
ATOMIC_SPECIES
S 32.06 S.upf
Mn 54.94 Mn.upf
Fe 55.84 Fe.upf
CELL_PARAMETERS angstrom
4.3423 0.0000 0.0000
0.0000 4.3423 0.0000
0.0000 0.0000 4.3423
ATOMIC_POSITIONS crystal
S 0.0000 0.5000 0.0000
S 0.0000 0.0000 0.5000
S 0.5000 0.0000 0.0000
Mn 0.5000 0.5000 0.5000
Fe 0.0000 0.0000 0.0000
! E_form (uncorrected): 0.90 eV/atom
! ΔE to the lowest computed polymorph: 1367 meV/atom

---

Entry 4:
! Pm6IrRu2Cl3, relaxed, DFT PBE-GGA; values from VASP
&SYSTEM
  ibrav = 0, nat = 12, ntyp = 4
/
ATOMIC_SPECIES
Pm 145.00 Pm.upf
Ir 192.22 Ir.upf
Ru 101.07 Ru.upf
Cl 35.45 Cl.upf
CELL_PARAMETERS angstrom
7.0038 -0.0038 0.0002
-3.5035 6.0645 0.0002
-1.1671 -2.0208 7.5689
ATOMIC_POSITIONS crystal
Pm 0.9317 0.5944 0.7946
Pm 0.7308 0.7308 0.2053
Pm 0.0683 0.4056 0.2054
Pm 0.5944 0.9317 0.7946
Pm 0.2692 0.2692 0.7947
Pm 0.4056 0.0683 0.2054
Ir 0.0000 0.0000 0.0000
Ru 0.3335 0.6665 0.0000
Ru 0.6665 0.3335 0.0000
Cl 0.1702 0.8298 0.5000
Cl 0.8298 0.1702 0.5000
Cl 0.5000 0.5000 0.5000
! E_form (uncorrected): -0.98 eV/atom

---

Entry 5:
! VCdSnSe2, relaxed, DFT PBE-GGA; values from VASP
&SYSTEM
  ibrav = 0, nat = 5, ntyp = 4
/
ATOMIC_SPECIES
V 50.94 V.upf
Sn 118.71 Sn.upf
Se 78.96 Se.upf
Cd 112.41 Cd.upf
CELL_PARAMETERS angstrom
5.2456 0.0000 0.0000
0.0000 5.2456 0.0000
0.0000 0.0000 5.2959
ATOMIC_POSITIONS crystal
V 0.5000 0.5000 0.5000
Sn 0.0000 0.0000 0.5000
Se 0.0000 0.5000 0.0000
Se 0.5000 0.0000 0.0000
Cd 0.0000 0.0000 0.0000
! E_form (uncorrected): 1.12 eV/atom

---

Entry 6:
! TeSI2O, relaxed, DFT PBE-GGA; values from VASP
&SYSTEM
  ibrav = 0, nat = 5, ntyp = 4
/
ATOMIC_SPECIES
I 126.90 I.upf
S 32.06 S.upf
Te 127.60 Te.upf
O 16.00 O.upf
CELL_PARAMETERS angstrom
-2.7313 -3.9871 3.7078
4.2224 1.0678 4.2586
-2.2889 2.9829 1.5215
ATOMIC_POSITIONS crystal
I 0.0000 0.5000 0.0000
I 0.5000 0.0000 0.0000
S 0.5000 0.5000 0.5000
Te 0.0000 0.0000 0.0000
O 0.0000 0.0000 0.5000
! E_form (uncorrected): 0.32 eV/atom
! ΔE to the lowest computed polymorph: 0 meV/atom

---

Entry 7:
! TbYAlHg, relaxed, DFT PBE-GGA; values from VASP
&SYSTEM
  ibrav = 0, nat = 4, ntyp = 4
/
ATOMIC_SPECIES
Tb 158.93 Tb.upf
Y 88.91 Y.upf
Al 26.98 Al.upf
Hg 200.59 Hg.upf
CELL_PARAMETERS angstrom
-3.5186 -0.5126 0.7093
0.2360 -3.3856 -1.2761
1.7569 -2.4854 6.9191
ATOMIC_POSITIONS crystal
Tb 0.0000 0.0000 0.8475
Y 0.0000 0.0000 0.3664
Al 0.5000 0.5000 0.6060
Hg 0.5000 0.5000 0.1081
! ΔE to the lowest computed polymorph: 0 meV/atom
! Formation energy from the elements: -43.3 kJ per mole of atoms

---

Entry 8:
! Al3GeAu6, relaxed, DFT PBE-GGA; values from VASP
&SYSTEM
  ibrav = 0, nat = 20, ntyp = 3
/
ATOMIC_SPECIES
Al 26.98 Al.upf
Ge 72.64 Ge.upf
Au 196.97 Au.upf
CELL_PARAMETERS angstrom
-6.6591 0.9974 -0.7443
-1.1211 -7.7147 -0.3106
-0.3514 3.0150 7.1872
ATOMIC_POSITIONS crystal
Al 0.5193 0.8720 0.7505
Al 0.0193 0.7505 0.8720
Al 0.3488 0.4475 0.5525
Al 0.8488 0.5525 0.4475
Al 0.0193 0.1280 0.2495
Al 0.5193 0.2495 0.1280
Ge 0.9546 0.2573 0.7427
Ge 0.4546 0.7427 0.2573
Au 0.1808 0.7607 0.5764
Au 0.6808 0.5764 0.7607
Au 0.2669 0.5060 0.8971
Au 0.7669 0.8971 0.5060
Au 0.1868 0.0772 0.9228
Au 0.5613 0.2131 0.7869
Au 0.0613 0.7869 0.2131
Au 0.6868 0.9228 0.0772
Au 0.2669 0.1029 0.4940
Au 0.7669 0.4940 0.1029
Au 0.1808 0.4236 0.2393
Au 0.6808 0.2393 0.4236
! Formation energy from the elements: -19.0 kJ per mole of atoms

---

Entry 9:
! Cd4Sn2Hg, relaxed, DFT PBE-GGA; values from VASP
&SYSTEM
  ibrav = 0, nat = 7, ntyp = 3
/
ATOMIC_SPECIES
Cd 112.41 Cd.upf
Sn 118.71 Sn.upf
Hg 200.59 Hg.upf
CELL_PARAMETERS angstrom
5.5391 0.0000 0.0000
0.0000 5.5391 0.0000
-2.7696 -2.7696 7.3264
ATOMIC_POSITIONS crystal
Cd 0.8063 0.8063 0.6126
Cd 0.1937 0.1937 0.3874
Cd 0.0000 0.5000 0.0000
Cd 0.5000 0.0000 0.0000
Sn 0.6101 0.6101 0.2203
Sn 0.3899 0.3899 0.7797
Hg 0.0000 0.0000 0.0000
! ΔE to the lowest computed polymorph: 233 meV/atom
! Formation energy from the elements: 28.0 kJ per mole of atoms

---

Entry 10:
! KMgNpTe3, relaxed, DFT PBE-GGA; values from VASP
&SYSTEM
  ibrav = 0, nat = 12, ntyp = 4
/
ATOMIC_SPECIES
K 39.10 K.upf
Mg 24.30 Mg.upf
Np 237.00 Np.upf
Te 127.60 Te.upf
CELL_PARAMETERS angstrom
-3.5369 2.8870 -0.1472
-4.9596 -5.7756 5.8912
5.3822 6.9095 6.1929
ATOMIC_POSITIONS crystal
K 0.2500 0.2073 0.2316
K 0.7500 0.7927 0.7684
Mg 0.2500 0.0872 0.6077
Mg 0.7500 0.9128 0.3923
Np 0.2500 0.6724 0.1404
Np 0.7500 0.3276 0.8596
Te 0.7500 0.8957 0.1308
Te 0.2500 0.1043 0.8692
Te 0.2500 0.7828 0.4655
Te 0.7500 0.2172 0.5345
Te 0.7500 0.4602 0.1614
Te 0.2500 0.5398 0.8386
! E_form (uncorrected): -0.86 eV/atom

---

Entry 11:
! Al3As, relaxed, DFT PBE-GGA; values from VASP
&SYSTEM
  ibrav = 0, nat = 8, ntyp = 2
/
ATOMIC_SPECIES
Al 26.98 Al.upf
As 74.92 As.upf
CELL_PARAMETERS angstrom
-2.7949 -3.2631 1.5787
3.5484 -3.8134 -1.6001
2.5672 0.2580 5.0780
ATOMIC_POSITIONS crystal
Al 0.5000 0.3112 0.0000
Al 0.0000 0.6888 0.5000
Al 0.0000 0.1473 0.2591
Al 0.0000 0.1473 0.7409
Al 0.5000 0.8527 0.7591
Al 0.5000 0.8527 0.2409
As 0.0000 0.5823 0.0000
As 0.5000 0.4177 0.5000
! ΔE to the lowest computed polymorph: 90 meV/atom
! Formation energy from the elements: 8.2 kJ per mole of atoms

---

Entry 12:
! Cs2MgGeH6, relaxed, DFT PBE-GGA; values from VASP
&SYSTEM
  ibrav = 0, nat = 10, ntyp = 4
/
ATOMIC_SPECIES
Cs 132.91 Cs.upf
Mg 24.30 Mg.upf
Ge 72.64 Ge.upf
H 1.01 H.upf
CELL_PARAMETERS angstrom
-4.6035 2.1850 3.3605
-4.0054 -2.7337 -3.7071
-4.1823 -3.8214 2.3056
ATOMIC_POSITIONS crystal
Cs 0.7501 0.2499 0.5000
Cs 0.2499 0.7501 0.5000
Mg 0.0000 0.0000 0.0000
Ge 0.5000 0.5000 0.0000
H 0.2466 0.2466 0.5068
H 0.7538 0.7538 0.0000
H 0.2462 0.7538 0.0000
H 0.7538 0.2462 0.0000
H 0.2462 0.2462 0.0000
H 0.7534 0.7534 0.4932
! E: -2.78 eV/atom

---

no.,total moment (μB per cell)
1,0.000
2,0.000
3,0.568
4,0.000
5,0.705
6,2.216
7,0.000
8,0.000
9,0.000
10,8.000
11,0.000
12,0.000